Computed, not measured: a relaxed structure of NdHo5Th2 at the GGA-PBE level of DFT.

abc: 3.523 8.839 8.839
angles: 78.44 78.51 78.51
Fractional positions:
1 Ho 0.631 0.140 0.597
2 Ho 0.369 0.860 0.403
3 Ho 0.369 0.403 0.860
4 Ho 0.631 0.597 0.140
5 Ho 0.000 0.500 0.500
6 Th 0.261 0.239 0.239
7 Th 0.739 0.761 0.761
8 Nd 0.000 0.000 0.000

Calculated values
- Energy: -5.22 eV per atom
- Energy relative to the elements: 0.096 eV/atom